# 1
Here is a relaxed structure of Li2HgMoO4 from the Alexandria database. Energies are from PBE+U.

SG: No. 12

Cell lengths 2.9620, 5.1887, 8.8586 Å; angles 64.56, 80.38, 73.42 degrees
Last column: magnetic moment on the atom in μB.
Sites, in units of the cell vectors:
Li  0.7469  0.6689  0.8373  0.00
Li  0.2531  0.3311  0.1627  0.00
Hg  0.5000  0.5000  0.5000  0.00
Mo  0.0000  0.0000  0.0000  0.28
O  0.1269  0.9449  0.8013  -0.02
O  0.3892  0.3064  0.9153  0.00
O  0.8731  0.0551  0.1987  -0.02
O  0.6108  0.6936  0.0847  0.00



# 2
Here is a relaxed structure of LiHgMoO4 from the Alexandria database. Energies are from PBE+U.

SG: No. 12

Cell lengths 6.4040, 6.4040, 7.6017 Å; angles 79.64, 79.64, 57.09 degrees
Sites, in units of the cell vectors:
Li  0.2877  0.2877  0.8053
Li  0.7123  0.7123  0.1947
Hg  0.8869  0.8869  0.4894
Hg  0.1131  0.1131  0.5106
Mo  0.6240  0.6240  0.7498
Mo  0.3760  0.3760  0.2502
O  0.3078  0.3078  0.4992
O  0.6922  0.6922  0.5008
O  0.0800  0.5596  0.1630
O  0.5366  0.5366  0.2148
O  0.4404  0.9200  0.8370
O  0.5596  0.0800  0.1630
O  0.4634  0.4634  0.7852
O  0.9200  0.4404  0.8370



no.,energy (eV/cell),volume (A^3/atom)
1,-42.6,14.71
2,-78.1,18.30